{"formula": "SrSn4Au6", "functional": "PBE", "state": "optimized geometry", "cell": [[-3.5870, 3.5870, 5.3353], [3.5870, -3.5870, 5.3353], [3.5870, 3.5870, -5.3353]], "species": ["Sr", "Sn", "Sn", "Sn", "Sn", "Au", "Au", "Au", "Au", "Au", "Au"], "frac_coords": [[0.0000, 0.0000, 0.0000], [0.1593, 0.1593, 0.6168], [0.4575, 0.8407, 0.0000], [0.5425, 0.5425, 0.3832], [0.8407, 0.4575, 0.0000], [0.0000, 0.5000, 0.5000], [0.1826, 0.5764, 0.0000], [0.4236, 0.4236, 0.6062], [0.5000, 0.0000, 0.5000], [0.5764, 0.1826, 0.0000], [0.8174, 0.8174, 0.3938]], "delta_e_f_mev_per_atom": -260, "magnetic_moment_mub_per_fu": 0.00, "space_group": "No. 121"}

{"formula": "Sr2Sn2Au", "functional": "PBE", "state": "optimized geometry", "cell": [[-2.0993, 2.0993, 9.3703], [2.0993, -2.0993, 9.3703], [2.0993, 2.0993, -9.3703]], "species": ["Sr", "Sr", "Sn", "Sn", "Au"], "frac_coords": [[0.0979, 0.0979, 0.0000], [0.9021, 0.9021, 0.0000], [0.2500, 0.7500, 0.5000], [0.7500, 0.2500, 0.5000], [0.5000, 0.5000, 0.0000]], "delta_e_f_mev_per_atom": -415, "magnetic_moment_mub_per_fu": 0.00, "relative_energy_ev_per_atom": 0.2913, "space_group": "No. 139"}

{"formula": "Sr6Sn3Au", "functional": "PBE", "state": "optimized geometry", "cell": [[8.1564, 0.0000, 0.0000], [0.0000, 8.7158, 0.0000], [-7.7234, 0.0000, 11.3567]], "species": ["Sr", "Sr", "Sr", "Sr", "Sr", "Sr", "Sr", "Sr", "Sr", "Sr", "Sr", "Sr", "Sn", "Sn", "Sn", "Sn", "Sn", "Sn", "Au", "Au"], "frac_coords": [[0.0760, 0.0424, 0.2473], [0.0760, 0.4576, 0.7473], [0.2296, 0.6711, 0.0750], [0.2296, 0.8289, 0.5750], [0.3904, 0.1736, 0.0688], [0.3904, 0.3264, 0.5688], [0.6096, 0.6736, 0.4312], [0.6096, 0.8264, 0.9312], [0.7704, 0.1711, 0.4250], [0.7704, 0.3289, 0.9250], [0.9240, 0.5424, 0.2527], [0.9240, 0.9576, 0.7527], [0.3120, 0.1300, 0.7708], [0.3120, 0.3700, 0.2708], [0.5000, 0.0000, 0.5000], [0.5000, 0.5000, 0.0000], [0.6880, 0.6300, 0.7292], [0.6880, 0.8700, 0.2292], [0.0000, 0.0000, 0.0000], [0.0000, 0.5000, 0.5000]], "delta_e_f_mev_per_atom": -509, "magnetic_moment_mub_per_fu": 0.00, "space_group": "No. 14"}

{"formula": "SrSnAu10", "functional": "PBE", "state": "optimized geometry", "cell": [[4.6695, 0.0000, 0.0000], [0.0000, 5.6801, 0.0000], [0.0000, 0.0000, 9.7839]], "species": ["Sr", "Sn", "Au", "Au", "Au", "Au", "Au", "Au", "Au", "Au", "Au", "Au"], "frac_coords": [[0.0000, 0.0000, 0.0000], [0.0000, 0.5000, 0.5000], [0.0000, 0.0000, 0.3405], [0.0000, 0.0000, 0.6595], [0.0000, 0.5000, 0.1772], [0.0000, 0.5000, 0.8228], [0.5000, 0.0000, 0.5000], [0.5000, 0.2467, 0.2468], [0.5000, 0.2467, 0.7532], [0.5000, 0.5000, 0.0000], [0.5000, 0.7533, 0.2468], [0.5000, 0.7533, 0.7532]], "delta_e_f_mev_per_atom": -209, "magnetic_moment_mub_per_fu": 0.00, "space_group": "No. 47"}

{"formula": "Sr2Sn3Au5", "functional": "PBE", "state": "optimized geometry", "cell": [[-5.7851, 6.5101, 3.3397], [5.7851, -6.5101, 3.3397], [5.7851, 6.5101, -3.3397]], "species": ["Sr", "Sr", "Sr", "Sr", "Sn", "Sn", "Sn", "Sn", "Sn", "Sn", "Au", "Au", "Au", "Au", "Au", "Au", "Au", "Au", "Au", "Au"], "frac_coords": [[0.1277, 0.2329, 0.3605], [0.3723, 0.7329, 0.1052], [0.6277, 0.2671, 0.8948], [0.8723, 0.7671, 0.6395], [0.1361, 0.8833, 0.0194], [0.2500, 0.7500, 0.5000], [0.3639, 0.3833, 0.7472], [0.6361, 0.6167, 0.2528], [0.7500, 0.2500, 0.5000], [0.8639, 0.1167, 0.9806], [0.0207, 0.7500, 0.2707], [0.1104, 0.6539, 0.7643], [0.2500, 0.2500, 0.0000], [0.3896, 0.1539, 0.5435], [0.4793, 0.7500, 0.7293], [0.5207, 0.2500, 0.2707], [0.6104, 0.8461, 0.4565], [0.7500, 0.7500, 0.0000], [0.8896, 0.3461, 0.2357], [0.9793, 0.2500, 0.7293]], "delta_e_f_mev_per_atom": -537, "magnetic_moment_mub_per_fu": 0.00, "relative_energy_ev_per_atom": 0.0000, "space_group": "No. 72"}

{"formula": "Sr2SnAu", "functional": "PBE", "state": "optimized geometry", "cell": [[6.4018, 0.0000, 0.0000], [0.0000, 4.8018, 0.0000], [-3.1121, 0.0000, 8.5320]], "species": ["Sr", "Sr", "Sr", "Sr", "Sn", "Sn", "Au", "Au"], "frac_coords": [[0.1976, 0.2500, 0.4200], [0.2774, 0.7500, 0.0637], [0.7226, 0.2500, 0.9363], [0.8024, 0.7500, 0.5800], [0.3643, 0.7500, 0.7115], [0.6357, 0.2500, 0.2885], [0.1558, 0.2500, 0.7867], [0.8442, 0.7500, 0.2133]], "delta_e_f_mev_per_atom": -681, "magnetic_moment_mub_per_fu": 0.00, "space_group": "No. 11"}

{"formula": "Sr2SnAu", "functional": "PBE", "state": "optimized geometry", "cell": [[-4.3549, 4.3549, 3.6516], [4.3549, -4.3549, 3.6516], [4.3549, 4.3549, -3.6516]], "species": ["Sr", "Sr", "Sr", "Sr", "Sn", "Sn", "Au", "Au"], "frac_coords": [[0.0987, 0.1250, 0.4737], [0.3750, 0.9013, 0.0263], [0.6513, 0.6250, 0.5263], [0.8750, 0.3487, 0.9737], [0.2500, 0.7500, 0.5000], [0.5000, 0.5000, 0.0000], [0.0000, 0.0000, 0.0000], [0.7500, 0.2500, 0.5000]], "delta_e_f_mev_per_atom": -376, "magnetic_moment_mub_per_fu": 0.00, "space_group": "No. 122"}

{"formula": "Sr2Sn2Au", "functional": "PBE", "state": "optimized geometry", "cell": [[7.6632, 0.0000, 0.0000], [0.0000, 7.6632, 0.0000], [0.0000, 0.0000, 5.1570]], "species": ["Sr", "Sr", "Sr", "Sr", "Sn", "Sn", "Sn", "Sn", "Au", "Au"], "frac_coords": [[0.1659, 0.3341, 0.0000], [0.3341, 0.8341, 0.0000], [0.6659, 0.1659, 0.0000], [0.8341, 0.6659, 0.0000], [0.1419, 0.6419, 0.5000], [0.3581, 0.1419, 0.5000], [0.6419, 0.8581, 0.5000], [0.8581, 0.3581, 0.5000], [0.0000, 0.0000, 0.5000], [0.5000, 0.5000, 0.5000]], "delta_e_f_mev_per_atom": -572, "magnetic_moment_mub_per_fu": 0.00, "relative_energy_ev_per_atom": 0.1340, "space_group": "No. 127"}

{"formula": "SrSn3Au3", "functional": "PBE", "state": "optimized geometry", "cell": [[8.7915, 0.0000, 0.0000], [0.0000, 4.8574, 0.0000], [-4.0491, 0.0000, 8.2911]], "species": ["Sr", "Sr", "Sn", "Sn", "Sn", "Sn", "Sn", "Sn", "Au", "Au", "Au", "Au", "Au", "Au"], "frac_coords": [[0.1702, 0.2500, 0.3207], [0.8298, 0.7500, 0.6793], [0.2352, 0.2500, 0.9498], [0.2523, 0.7500, 0.7167], [0.4716, 0.7500, 0.2350], [0.5284, 0.2500, 0.7650], [0.7477, 0.2500, 0.2833], [0.7648, 0.7500, 0.0502], [0.0310, 0.2500, 0.6034], [0.1086, 0.7500, 0.0592], [0.4257, 0.7500, 0.5274], [0.5743, 0.2500, 0.4726], [0.8914, 0.2500, 0.9408], [0.9690, 0.7500, 0.3966]], "delta_e_f_mev_per_atom": -384, "magnetic_moment_mub_per_fu": 0.00, "relative_energy_ev_per_atom": 0.0000, "space_group": "No. 11"}

{"formula": "Sr4Sn8Au", "functional": "PBE", "state": "optimized geometry", "cell": [[4.5095, 0.0000, 0.0000], [0.0000, 4.5493, 0.0000], [0.0000, 0.0000, 19.9557]], "species": ["Sr", "Sr", "Sr", "Sr", "Sn", "Sn", "Sn", "Sn", "Sn", "Sn", "Sn", "Sn", "Au"], "frac_coords": [[0.0000, 0.0000, 0.0000], [0.0000, 0.5000, 0.4872], [0.5000, 0.0000, 0.7792], [0.5000, 0.5000, 0.2796], [0.0000, 0.0000, 0.3378], [0.0000, 0.0000, 0.6251], [0.0000, 0.5000, 0.1357], [0.0000, 0.5000, 0.8530], [0.5000, 0.0000, 0.1432], [0.5000, 0.0000, 0.4287], [0.5000, 0.5000, 0.6255], [0.5000, 0.5000, 0.9405], [0.0000, 0.5000, 0.7167]], "delta_e_f_mev_per_atom": -447, "magnetic_moment_mub_per_fu": 0.00, "space_group": "No. 25"}

{"formula": "Sr3Sn2Au7", "functional": "PBE", "state": "optimized geometry", "cell": [[-2.2811, 2.2811, 14.7979], [2.2811, -2.2811, 14.7979], [2.2811, 2.2811, -14.7979]], "species": ["Sr", "Sr", "Sr", "Sn", "Sn", "Au", "Au", "Au", "Au", "Au", "Au", "Au"], "frac_coords": [[0.0000, 0.0000, 0.0000], [0.1750, 0.1750, 0.0000], [0.8250, 0.8250, 0.0000], [0.3747, 0.3747, 0.0000], [0.6253, 0.6253, 0.0000], [0.0736, 0.5736, 0.5000], [0.2807, 0.2807, 0.0000], [0.4264, 0.9264, 0.5000], [0.5000, 0.5000, 0.0000], [0.5736, 0.0736, 0.5000], [0.7193, 0.7193, 0.0000], [0.9264, 0.4264, 0.5000]], "delta_e_f_mev_per_atom": -454, "magnetic_moment_mub_per_fu": 0.00, "space_group": "No. 139"}

{"formula": "Sr3SnAu4", "functional": "PBE", "state": "optimized geometry", "cell": [[-2.2737, 3.4693, 7.7348], [2.2737, -3.4693, 7.7348], [2.2737, 3.4693, -7.7348]], "species": ["Sr", "Sr", "Sr", "Sn", "Au", "Au", "Au", "Au"], "frac_coords": [[0.0000, 0.0000, 0.0000], [0.3131, 0.8131, 0.5000], [0.6869, 0.1869, 0.5000], [0.5000, 0.5000, 0.0000], [0.0768, 0.3774, 0.6994], [0.3220, 0.6226, 0.6994], [0.6780, 0.3774, 0.3006], [0.9232, 0.6226, 0.3006]], "delta_e_f_mev_per_atom": -629, "magnetic_moment_mub_per_fu": 0.00, "space_group": "No. 71"}

{"formula": "Sr3SnAu8", "functional": "PBE", "state": "optimized geometry", "cell": [[2.8749, 1.6598, 9.6305], [-2.8749, 1.6598, 9.6305], [0.0000, -3.3196, 9.6305]], "species": ["Sr", "Sr", "Sr", "Sn", "Au", "Au", "Au", "Au", "Au", "Au", "Au", "Au"], "frac_coords": [[0.0000, 0.0000, 0.0000], [0.1289, 0.1289, 0.1289], [0.5148, 0.5148, 0.5148], [0.6371, 0.6371, 0.6371], [0.0690, 0.0690, 0.5640], [0.0690, 0.5640, 0.0690], [0.0712, 0.5683, 0.5683], [0.3181, 0.3181, 0.3181], [0.5640, 0.0690, 0.0690], [0.5683, 0.0712, 0.5683], [0.5683, 0.5683, 0.0712], [0.8183, 0.8183, 0.8183]], "delta_e_f_mev_per_atom": -504, "magnetic_moment_mub_per_fu": 0.00, "space_group": "No. 160"}

{"formula": "Sr3Sn2Au4", "functional": "PBE", "state": "optimized geometry", "cell": [[5.8944, -2.3907, 0.0000], [5.8944, 2.3907, 0.0000], [-3.6351, 0.0000, 8.6274]], "species": ["Sr", "Sr", "Sr", "Sn", "Sn", "Au", "Au", "Au", "Au"], "frac_coords": [[0.0000, 0.0000, 0.0000], [0.3633, 0.3633, 0.3068], [0.6367, 0.6367, 0.6932], [0.3404, 0.3404, 0.6720], [0.6596, 0.6596, 0.3280], [0.0883, 0.0883, 0.4219], [0.2791, 0.2791, 0.9358], [0.7209, 0.7209, 0.0642], [0.9117, 0.9117, 0.5781]], "delta_e_f_mev_per_atom": -710, "magnetic_moment_mub_per_fu": 0.00, "space_group": "No. 12"}

{"formula": "Sr3Sn2Au3", "functional": "PBE", "state": "optimized geometry", "cell": [[2.3964, -5.8927, 0.0000], [2.3964, 5.8927, 0.0000], [0.0000, 0.0000, 15.9690]], "species": ["Sr", "Sr", "Sr", "Sr", "Sr", "Sr", "Sn", "Sn", "Sn", "Sn", "Au", "Au", "Au", "Au", "Au", "Au"], "frac_coords": [[0.0842, 0.9158, 0.6045], [0.0842, 0.9158, 0.8955], [0.3797, 0.6203, 0.7500], [0.6203, 0.3797, 0.2500], [0.9158, 0.0842, 0.1045], [0.9158, 0.0842, 0.3955], [0.2100, 0.7900, 0.0964], [0.2100, 0.7900, 0.4036], [0.7900, 0.2100, 0.5964], [0.7900, 0.2100, 0.9036], [0.3300, 0.6700, 0.2500], [0.3894, 0.6106, 0.5412], [0.3894, 0.6106, 0.9588], [0.6106, 0.3894, 0.0412], [0.6106, 0.3894, 0.4588], [0.6700, 0.3300, 0.7500]], "delta_e_f_mev_per_atom": -686, "magnetic_moment_mub_per_fu": 0.00, "space_group": "No. 63"}

{"formula": "Sr3Sn3Au", "functional": "PBE", "state": "optimized geometry", "cell": [[5.9279, -2.4672, 0.0000], [5.9279, 2.4672, 0.0000], [-5.6065, 0.0000, 15.0901]], "species": ["Sr", "Sr", "Sr", "Sr", "Sr", "Sr", "Sn", "Sn", "Sn", "Sn", "Sn", "Sn", "Au", "Au"], "frac_coords": [[0.0419, 0.0419, 0.3848], [0.0977, 0.0977, 0.9203], [0.2458, 0.2458, 0.2337], [0.7542, 0.7542, 0.7663], [0.9023, 0.9023, 0.0797], [0.9581, 0.9581, 0.6152], [0.3642, 0.3642, 0.4616], [0.3861, 0.3861, 0.9234], [0.4622, 0.4622, 0.7657], [0.5379, 0.5379, 0.2344], [0.6139, 0.6139, 0.0766], [0.6358, 0.6358, 0.5384], [0.2470, 0.2470, 0.6111], [0.7530, 0.7530, 0.3889]], "delta_e_f_mev_per_atom": -703, "magnetic_moment_mub_per_fu": 0.00, "space_group": "No. 12"}

{"formula": "Sr2Sn2Au", "functional": "PBE", "state": "optimized geometry", "cell": [[5.8777, -2.4443, 0.0000], [5.8777, 2.4443, 0.0000], [-5.5515, 0.0000, 10.4793]], "species": ["Sr", "Sr", "Sr", "Sr", "Sn", "Sn", "Sn", "Sn", "Au", "Au"], "frac_coords": [[0.0146, 0.0146, 0.3318], [0.1884, 0.1884, 0.1124], [0.8116, 0.8116, 0.8876], [0.9854, 0.9854, 0.6682], [0.3547, 0.3547, 0.4446], [0.4807, 0.4807, 0.1148], [0.5193, 0.5193, 0.8852], [0.6453, 0.6453, 0.5554], [0.2733, 0.2733, 0.6605], [0.7267, 0.7267, 0.3395]], "delta_e_f_mev_per_atom": -706, "magnetic_moment_mub_per_fu": 0.00, "relative_energy_ev_per_atom": 0.0000, "space_group": "No. 12"}

{"formula": "Sr2Sn5Au3", "functional": "PBE", "state": "optimized geometry", "cell": [[2.3613, -13.8382, 0.0000], [2.3613, 13.8382, 0.0000], [0.0000, 0.0000, 7.9803]], "species": ["Sr", "Sr", "Sr", "Sr", "Sn", "Sn", "Sn", "Sn", "Sn", "Sn", "Sn", "Sn", "Sn", "Sn", "Au", "Au", "Au", "Au", "Au", "Au"], "frac_coords": [[0.0220, 0.9780, 0.5000], [0.3252, 0.6748, 0.4804], [0.6748, 0.3252, 0.9804], [0.9780, 0.0220, 0.0000], [0.0994, 0.9006, 0.1519], [0.2038, 0.7962, 0.6828], [0.2070, 0.7930, 0.2759], [0.3787, 0.6213, 0.9958], [0.4493, 0.5507, 0.3235], [0.5507, 0.4493, 0.8235], [0.6213, 0.3787, 0.4958], [0.7930, 0.2070, 0.7759], [0.7962, 0.2038, 0.1828], [0.9006, 0.0994, 0.6519], [0.1059, 0.8941, 0.7869], [0.2719, 0.7281, 0.9782], [0.4536, 0.5464, 0.7003], [0.5464, 0.4536, 0.2003], [0.7281, 0.2719, 0.4782], [0.8941, 0.1059, 0.2869]], "delta_e_f_mev_per_atom": -478, "magnetic_moment_mub_per_fu": 0.00, "relative_energy_ev_per_atom": 0.0201, "space_group": "No. 36"}

{"formula": "Sr2Sn3Au5", "functional": "PBE", "state": "optimized geometry", "cell": [[4.7800, 0.0000, 0.0000], [0.0000, 4.7800, 0.0000], [0.0000, 0.0000, 11.6060]], "species": ["Sr", "Sr", "Sn", "Sn", "Sn", "Au", "Au", "Au", "Au", "Au"], "frac_coords": [[0.0000, 0.5000, 0.2042], [0.5000, 0.0000, 0.7958], [0.0000, 0.5000, 0.6430], [0.5000, 0.0000, 0.3570], [0.5000, 0.5000, 0.5000], [0.0000, 0.0000, 0.0000], [0.0000, 0.0000, 0.5000], [0.0000, 0.5000, 0.8720], [0.5000, 0.0000, 0.1280], [0.5000, 0.5000, 0.0000]], "delta_e_f_mev_per_atom": -439, "magnetic_moment_mub_per_fu": 0.00, "relative_energy_ev_per_atom": 0.0981, "space_group": "No. 115"}

{"formula": "SrSnAu6", "functional": "PBE", "state": "optimized geometry", "cell": [[5.5522, 0.0000, 0.0000], [0.0000, 5.5522, 0.0000], [0.0000, 0.0000, 5.5522]], "species": ["Sr", "Sn", "Au", "Au", "Au", "Au", "Au", "Au"], "frac_coords": [[0.0000, 0.0000, 0.0000], [0.5000, 0.5000, 0.5000], [0.0000, 0.2525, 0.5000], [0.0000, 0.7475, 0.5000], [0.2525, 0.5000, 0.0000], [0.5000, 0.0000, 0.2525], [0.5000, 0.0000, 0.7475], [0.7475, 0.5000, 0.0000]], "delta_e_f_mev_per_atom": -217, "magnetic_moment_mub_per_fu": 0.00, "space_group": "No. 200"}

no.,final energy (eV per atom)
1,-3.6560
2,-3.3444
3,-3.0469
4,-3.4141
5,-3.7133
6,-3.3422
7,-3.0368
8,-3.5016
9,-3.7445
10,-3.6798
11,-3.4538
12,-3.3983
13,-3.4431
14,-3.6164
15,-3.5464
16,-3.6070
17,-3.6356
18,-3.7991
19,-3.6153
20,-3.3860